Entry 1:
# EuSi2Mo

An optimized crystal structure of EuSi2Mo (PBE, Alexandria).

Calculated values
density	6.3	g/cm3
magnetic moment	6.89	μB per formula unit
uncorrected energy	-32.46	eV per cell
SG	R-3m (166)

a = 3.6262 Å, b = 3.6262 Å, c = 7.3049 Å
α = 75.63°, β = 75.63°, γ = 60.00°
With the nearest neighbours (Å) after each atom.
Fractional coordinates of all 4 atoms:
Eu 0.5000 0.5000 0.5000  6 Si 2.95
Mo 0.0000 0.0000 0.0000  6 Si 2.53
Si 0.7342 0.7342 0.7975  3 Mo 2.53
Si 0.2658 0.2658 0.2025  3 Mo 2.53



Entry 2:
# EuTe2Mo

An optimized crystal structure of EuTe2Mo (PBE, Alexandria).

Calculated values
density	7.4	g/cm3
magnetic moment	8.07	μB per formula unit
uncorrected energy	-27.79	eV per cell
SG	R-3m (166)

a = 3.5945 Å, b = 3.5945 Å, c = 10.3652 Å
α = 80.01°, β = 80.01°, γ = 60.00°
With the nearest neighbours (Å) after each atom.
Fractional coordinates of all 4 atoms:
Eu 0.0000 0.0000 0.0000  2 Te 3.25, 6 Eu 3.59
Mo 0.5000 0.5000 0.5000  6 Te 2.77
Te 0.1065 0.1065 0.6804  3 Mo 2.77
Te 0.8935 0.8935 0.3196  3 Mo 2.77